Here is crystalline ZnHgSe2 at its relaxed geometry from the Alexandria database. Energies are from GGA-PBE.

extended XYZ file:
```
8
Lattice="6.910 0.000 -2.327 3.377 5.729 -4.448 -3.377 5.729 4.448" Properties=species:S:1:pos:R:3 pbc="T T T"
Zn 3.494 5.489 0.479
Zn 3.416 5.968 -2.806
Hg 6.871 7.160 -3.970
Hg 0.039 4.297 1.642
Se 1.081 1.528 -0.192
Se 2.374 7.256 -0.972
Se 5.830 9.929 -2.136
Se 4.536 4.201 -1.356
```

Computed properties:
Size of the total moment ... 0.00 μB/cell
Energy ... -2.50 eV/atom
Energy relative to the elements, uncorrected ... -0.361 eV per atom

***

Here is crystalline Zn2HgSe at its relaxed geometry from the Alexandria database. Energies are from GGA-PBE.

extended XYZ file:
```
4
Lattice="4.897 -0.009 0.051 -0.182 4.894 0.051 1.130 1.171 3.746" Properties=species:S:1:pos:R:3 pbc="T T T"
Hg 3.014 0.581 1.898
Se 0.474 3.033 1.898
Zn 0.000 0.000 0.000
Zn 2.358 2.443 0.051
```

Computed properties:
Size of the total moment ... 0.00 μB/cell
Energy ... -1.53 eV/atom
Polymorph energy (0 for the lowest one) ... 167.8 meV per atom
Energy relative to the elements, uncorrected ... 0.051 eV per atom

***

Here is crystalline ZnHgSe2 at its relaxed geometry from the Alexandria database. Energies are from GGA-PBE.

extended XYZ file:
```
8
Lattice="5.569 0.000 0.000 0.000 5.569 0.000 2.784 2.784 5.708" Properties=species:S:1:pos:R:3 pbc="T T T"
Zn 2.784 2.784 0.000
Zn 2.784 5.569 2.854
Hg 0.000 0.000 0.000
Hg 5.569 2.784 2.854
Se 5.569 5.569 3.114
Se 2.784 5.569 5.449
Se 2.784 2.784 2.595
Se 2.784 5.569 0.259
```

Computed properties:
Size of the total moment ... 0.00 μB/cell
Energy ... -2.36 eV/atom
Energy relative to the elements, uncorrected ... -0.225 eV per atom